Density functional theory data (SCAN) for YNb2CdC at its PBEsol-relaxed geometry.

Calculated values
For the energy of formation, the calculation gives 1522 kJ/mol of formula units. The calculation puts the final energy at -118.847 eV/f.u. The calculated density is 5.19 g/cm3.

Cell lengths 4.8698, 4.8698, 5.3900 Å; angles 90.00, 90.00, 90.00 degrees
Closest atoms and distances in Å follow each position.
Element x y z (fractional)
Y (0.0000, 0.0000, 0.0000)  4 Nb 2.43, 2 Cd 2.69
Nb (0.0000, 0.5000, 0.0000)  2 Y 2.43
Nb (0.5000, 0.0000, 0.0000)  2 Y 2.43
C (0.5000, 0.5000, 0.5000)  4 Cd 3.44, 8 Nb 3.63
Cd (0.0000, 0.0000, 0.5000)  2 Y 2.69

Density functional theory data (SCAN) for CdNi3C at its PBEsol-relaxed geometry.

Calculated values
For the energy of formation, the calculation gives 23 kJ/mol of formula units. The calculation puts the final energy at -88.794 eV/f.u. The calculated density is 9.08 g/cm3.

Cell lengths 3.8025, 3.8025, 3.8025 Å; angles 90.00, 90.00, 90.00 degrees
Closest atoms and distances in Å follow each position.
Element x y z (fractional)
Ni (0.0000, 0.5000, 0.0000)  2 C 1.90
Ni (0.0000, 0.0000, 0.5000)  2 C 1.90
Ni (0.5000, 0.0000, 0.0000)  2 C 1.90
C (0.0000, 0.0000, 0.0000)  6 Ni 1.90
Cd (0.5000, 0.5000, 0.5000)  12 Ni 2.69

Density functional theory data (SCAN) for CdNi2C at its PBEsol-relaxed geometry.

Calculated values
For the energy of formation, the calculation gives 510 kJ/mol of formula units. The calculation puts the final energy at -67.575 eV/f.u. The calculated density is 8.73 g/cm3.

Cell lengths 4.0221, 4.0221, 4.0221 Å; angles 60.00, 60.00, 60.00 degrees
Closest atoms and distances in Å follow each position.
Element x y z (fractional)
Ni (0.2500, 0.2500, 0.2500)  4 Cd 2.46, 4 C 2.46
Ni (0.7500, 0.7500, 0.7500)  4 C 2.46, 4 Cd 2.46
C (0.0000, 0.0000, 0.0000)  8 Ni 2.46
Cd (0.5000, 0.5000, 0.5000)  8 Ni 2.46

Density functional theory data (SCAN) for Cd2CO at its PBEsol-relaxed geometry.

Calculated values
Its uncorrected formation energy is 0.54 eV/atom. The calculation puts the final energy at -75.013 eV/f.u. The calculated density is 6.50 g/cm3.

Cell lengths 5.4153, 5.8342, 5.4153 Å; angles 62.35, 90.00, 117.65 degrees
Closest atoms and distances in Å follow each position.
Element x y z (fractional)
C (0.2500, 0.5000, 0.2500)  4 Cd 2.21
C (0.5000, 0.0000, 0.5000)  4 Cd 2.21
O (0.7500, 0.5000, 0.7500)  4 Cd 2.21
O (0.0000, 0.0000, 0.0000)  4 Cd 2.21
Cd (0.1240, 0.7500, 0.8750)  2 O 2.21, 2 C 2.21
Cd (0.6260, 0.7500, 0.3750)  2 O 2.21, 2 C 2.21
Cd (0.3750, 0.2500, 0.1240)  2 O 2.21, 2 C 2.21
Cd (0.8750, 0.2500, 0.6260)  2 O 2.21, 2 C 2.21

Density functional theory data (SCAN) for CdCO3 at its PBEsol-relaxed geometry.

Calculated values
Its uncorrected formation energy is -1.50 eV/atom. The calculation puts the final energy at -66.699 eV/f.u. The calculated density is 4.99 g/cm3.

Cell lengths 4.9600, 4.9600, 6.0999 Å; angles 66.01, 66.01, 60.00 degrees
Closest atoms and distances in Å follow each position.
Element x y z (fractional)
C (0.2500, 0.2500, 0.2500)  3 O 1.29
C (0.7500, 0.7500, 0.7500)  3 O 1.29
O (0.9891, 0.5109, 0.2500)  1 C 1.29
O (0.5109, 0.2500, 0.2500)  1 C 1.29
O (0.7500, 0.0109, 0.7500)  1 C 1.29
O (0.0109, 0.4891, 0.7500)  1 C 1.29
O (0.4891, 0.7500, 0.7500)  1 C 1.29
O (0.2500, 0.9891, 0.2500)  1 C 1.29
Cd (0.5000, 0.5000, 0.5000)  6 O 2.30
Cd (0.0000, 0.0000, 0.0000)  6 O 2.30

Density functional theory data (SCAN) for Cd3CO at its PBEsol-relaxed geometry.

Calculated values
Its uncorrected formation energy is 0.46 eV/atom. The calculation puts the final energy at -105.257 eV/f.u. The calculated density is 7.46 g/cm3.

Cell lengths 4.3319, 4.3319, 4.3319 Å; angles 90.00, 90.00, 90.00 degrees
Closest atoms and distances in Å follow each position.
Element x y z (fractional)
C (0.0000, 0.0000, 0.0000)  6 Cd 2.17
O (0.5000, 0.5000, 0.5000)  12 Cd 3.06
Cd (0.0000, 0.5000, 0.0000)  2 C 2.17
Cd (0.0000, 0.0000, 0.5000)  2 C 2.17
Cd (0.5000, 0.0000, 0.0000)  2 C 2.17

- Look up the calculated density of the sixth one.
  7.46 g/cm3